K2FeSO6 after structural relaxation, computed with GGA+U.

Results
- calculated volume (Å³ per atom) = 14.5
- crystal system = trigonal
- ρ (Mg/m³) = 3.00
- uncorrected energy (eV per atom) = -5.3719

abc: 4.8024 5.9028 5.9028
angles: 120.00 90.00 90.00
Last column: nearest neighbours and their distance in Å.
Fractional positions:
Fe (0.5000, 0.0000, 0.0000)  6 O 1.91
O (0.2158, 0.8686, 0.7373)  1 S 1.70
S (0.0000, 0.0000, 0.0000)  6 O 1.70
O (0.2158, 0.8686, 0.1314)  1 S 1.70
O (0.7842, 0.1314, 0.2627)  1 S 1.70
K (0.7909, 0.6667, 0.3333)  9 O 2.90-2.97
O (0.7842, 0.1314, 0.8686)  1 S 1.70
O (0.2158, 0.2627, 0.1314)  1 S 1.70
O (0.7842, 0.7373, 0.8686)  1 S 1.70
K (0.2091, 0.3333, 0.6667)  9 O 2.90-2.97